A plane-wave DFT calculation with PBE was carried out for a relaxed structure of Tm2IrOs.

Cell and atoms, written as extended XYZ:
```
4
Lattice="1.5782 0.9112 9.4695 -1.5782 0.9112 9.4695 0.0000 -1.8224 9.4695" Properties=species:S:1:pos:R:3 pbc="T T T"
Tm 0.0000 0.0000 2.6146
Tm 0.0000 0.0000 25.7938
Ir 0.0000 0.0000 0.0000
Os 0.0000 0.0000 14.2042
```

Results
Calculated formation energy ... 0.309 eV/atom
Offset from the most stable computed form ... 0.867 eV per atom